Compound: Ho2ScCu
Source: Alexandria
Functional: PBE-GGA
Structure: relaxed

Cell lengths 6.412, 6.662, 9.205 Å; angles 90.00, 90.00, 90.00 degrees
Positions (direct):
Ho1 0.195 0.701 0.057
Ho2 0.305 0.201 0.443
Ho3 0.805 0.299 0.557
Ho4 0.695 0.799 0.943
Ho5 0.805 0.299 0.943
Ho6 0.695 0.799 0.557
Ho7 0.195 0.701 0.443
Ho8 0.305 0.201 0.057
Sc1 0.621 0.523 0.250
Sc2 0.879 0.023 0.250
Sc3 0.379 0.477 0.750
Sc4 0.121 0.977 0.750
Cu1 0.020 0.418 0.250
Cu2 0.480 0.918 0.250
Cu3 0.980 0.582 0.750
Cu4 0.520 0.082 0.750

Output
As for the formation energy: -0.104 eV/atom. For the energy above the most stable polymorph in this dataset, the calculation gives 0.0 meV per atom. The calculation puts the density of states at the Fermi level at 3.31 states/eV/f.u. As for the crystal system: orthorhombic.